Computed, not measured: a relaxed Sn5B2Rh12 crystal at the GGA-PBE level of DFT.

Results
formation enthalpy at 0 K	-0.17	eV per atom
E	-124.726	eV for the cell shown
space-group type	C2/m, No. 12

Cell lengths 8.078, 8.078, 8.217 Å; angles 114.83, 114.83, 41.60 degrees
Sites, in units of the cell vectors:
1 Sn 0.000 0.000 0.000
2 Sn 0.290 0.290 0.472
3 Sn 0.307 0.307 0.998
4 Sn 0.693 0.693 0.002
5 Sn 0.710 0.710 0.528
6 B 0.290 0.710 0.500
7 B 0.710 0.290 0.500
8 Rh 0.026 0.026 0.352
9 Rh 0.083 0.621 0.284
10 Rh 0.107 0.597 0.772
11 Rh 0.379 0.917 0.716
12 Rh 0.403 0.893 0.228
13 Rh 0.494 0.494 0.710
14 Rh 0.506 0.506 0.290
15 Rh 0.597 0.107 0.772
16 Rh 0.621 0.083 0.284
17 Rh 0.893 0.403 0.228
18 Rh 0.917 0.379 0.716
19 Rh 0.974 0.974 0.648



Computed, not measured: a relaxed SnB2Rh7 crystal at the GGA-PBE level of DFT.

Results
formation enthalpy at 0 K	0.02	eV per atom
E	-68.636	eV for the cell shown
space-group type	Cmmm, No. 65

Cell lengths 6.314, 6.314, 4.024 Å; angles 90.00, 90.00, 112.13 degrees
Sites, in units of the cell vectors:
1 Sn 0.000 0.000 0.000
2 B 0.297 0.703 0.500
3 B 0.703 0.297 0.500
4 Rh 0.057 0.322 0.500
5 Rh 0.296 0.704 0.000
6 Rh 0.322 0.057 0.500
7 Rh 0.500 0.500 0.500
8 Rh 0.678 0.943 0.500
9 Rh 0.704 0.296 0.000
10 Rh 0.943 0.678 0.500



Computed, not measured: a relaxed Sn3BRh crystal at the GGA-PBE level of DFT.

Results
excess energy over the best structure of this formula in the dataset	0	meV per atom
formation enthalpy at 0 K	0.72	eV per atom
E	-22.461	eV for the cell shown
space-group type	Pm-3m, No. 221

Cell lengths 4.694, 4.694, 4.694 Å; angles 90.00, 90.00, 90.00 degrees
Sites, in units of the cell vectors:
1 Sn 0.000 0.000 0.500
2 Sn 0.000 0.500 0.000
3 Sn 0.500 0.000 0.000
4 B 0.000 0.000 0.000
5 Rh 0.500 0.500 0.500



Computed, not measured: a relaxed Sn2BRh6 crystal at the GGA-PBE level of DFT.

Results
formation enthalpy at 0 K	-0.11	eV per atom
E	-59.777	eV for the cell shown
space-group type	C2/m, No. 12

Cell lengths 6.380, 6.380, 4.563 Å; angles 100.69, 100.69, 52.96 degrees
Sites, in units of the cell vectors:
1 Sn 0.194 0.194 0.093
2 Sn 0.806 0.806 0.907
3 B 0.500 0.500 0.500
4 Rh 0.113 0.622 0.434
5 Rh 0.277 0.723 0.000
6 Rh 0.378 0.887 0.566
7 Rh 0.622 0.113 0.434
8 Rh 0.723 0.277 0.000
9 Rh 0.887 0.378 0.566